Entry from the Alexandria database: a geometry-optimized La6Pt2SCl3 structure (PBE).

a = 9.751 Å, b = 9.751 Å, c = 8.745 Å
α = 103.91°, β = 103.91°, γ = 24.38°
Fractional coordinates of all 12 atoms:
La  0.002  0.002  0.271
La  0.329  0.329  0.940
La  0.342  0.342  0.405
La  0.658  0.658  0.595
La  0.671  0.671  0.060
La  0.998  0.998  0.729
Pt  0.162  0.162  0.828
Pt  0.838  0.838  0.172
S  0.500  0.500  0.500
Cl  0.172  0.172  0.338
Cl  0.500  0.500  0.000
Cl  0.828  0.828  0.662

## Properties
ΔE_f (raw), meV/atom: -1565
Size of the total moment, μB per cell: 0.00
Symmetry: C2/m